1 | SrLa2ScH PBE optimized geometry; spin magnetization = 0.0 μB per cell
1.0
5.2358 0.0000 0.0000
0.0000 5.2358 0.0000
0.0000 0.0000 5.2330
Sr La Sc H
1 2 1 1
Cartesian
0.0000 0.0000 0.0000
0.0000 2.6179 2.6165
2.6179 0.0000 2.6165
2.6179 2.6179 0.0000
0.0000 0.0000 2.6165

***

2 | SrLa2ScH PBE optimized geometry; spin magnetization = 0.0 μB per cell
1.0
5.3185 0.0000 0.0000
0.0000 5.3185 0.0000
0.0000 0.0000 4.9864
Sr La Sc H
1 2 1 1
Cartesian
0.0000 0.0000 0.0000
0.0000 2.6593 2.4932
2.6593 0.0000 2.4932
2.6593 2.6593 0.0000
2.6593 2.6593 2.4932

***

Quick one: most stable of them? 1

***

1 | La2ScTiH PBE optimized geometry; spin magnetization = 1.5 μB per cell
1.0
5.3074 0.0000 0.0000
0.0000 5.3074 0.0000
0.0000 0.0000 4.1022
La Sc Ti H
2 1 1 1
Cartesian
0.0000 2.6537 0.0000
2.6537 0.0000 0.0000
0.0000 0.0000 2.0511
2.6537 2.6537 2.0511
2.6537 2.6537 0.0000

***

2 | La2ScTiH PBE optimized geometry; spin magnetization = 0.0 μB per cell
1.0
5.0263 0.0000 0.0000
0.0000 5.0263 0.0000
0.0000 0.0000 4.5053
La Sc Ti H
2 1 1 1
Cartesian
0.0000 2.5131 0.0000
2.5131 0.0000 0.0000
0.0000 0.0000 2.2526
2.5131 2.5131 2.2526
0.0000 0.0000 0.0000

***

Quick one: most stable of them? 1

***

1 | La2HSe PBE optimized geometry; spin magnetization = 1.0 μB per cell
1.0
2.0040 1.1570 6.8996
-2.0040 1.1570 6.8996
0.0000 -2.3140 6.8996
La H Se
2 1 1
Cartesian
0.0000 0.0000 4.9921
0.0000 0.0000 15.7068
0.0000 0.0000 10.3495
0.0000 0.0000 0.0000

***

2 | La2HSe PBE optimized geometry; spin magnetization = 0.0 μB per cell
1.0
0.0000 3.5737 3.5737
3.5737 0.0000 3.5737
3.5737 3.5737 0.0000
La H Se
2 1 1
Cartesian
1.7868 1.7868 1.7868
5.3605 5.3605 5.3605
0.0000 0.0000 0.0000
3.5737 3.5737 3.5737

***

3 | La2HSe PBE optimized geometry; spin magnetization = 0.0 μB per cell
1.0
-3.5966 3.5966 3.6467
3.5966 -3.5966 3.6467
3.5966 3.5966 -3.6467
La H Se
4 2 2
Cartesian
5.3949 1.2676 -0.9117
1.2676 1.7983 0.9117
-1.7983 2.3290 2.7350
2.3290 1.7983 4.5583
0.0000 0.0000 0.0000
0.0000 3.5966 1.8233
3.5966 0.0000 1.8233
0.0000 0.0000 3.6467

***

Quick one: most stable of them? 1

***

1 | LaH2Se PBE optimized geometry; spin magnetization = 0.0 μB per cell
1.0
-2.1628 2.1628 7.4735
2.1628 -2.1628 7.4735
2.1628 2.1628 -7.4735
La H Se
2 4 2
Cartesian
0.0000 0.0000 0.0000
0.0000 2.1628 3.7368
3.2442 0.8124 -1.8684
0.8124 1.0814 1.8684
-1.0814 1.3505 5.6051
1.3505 1.0814 9.3419
2.1628 0.0000 3.7368
0.0000 0.0000 7.4735

***

2 | LaH2Se PBE optimized geometry; spin magnetization = 0.0 μB per cell
1.0
0.0000 3.0903 3.0903
3.0903 0.0000 3.0903
3.0903 3.0903 0.0000
La H Se
1 2 1
Cartesian
0.0000 0.0000 0.0000
1.5452 1.5452 1.5452
4.6355 4.6355 4.6355
3.0903 3.0903 3.0903

***

Quick one: most stable of them? 2

***

1 | LaHSe3 PBE optimized geometry; spin magnetization = 0.0 μB per cell
1.0
4.5995 0.0000 0.0000
0.0000 4.5995 0.0000
0.0000 0.0000 4.5995
La H Se
1 1 3
Cartesian
0.0000 0.0000 0.0000
2.2998 2.2998 2.2998
0.0000 2.2998 2.2998
2.2998 0.0000 2.2998
2.2998 2.2998 0.0000

***

2 | LaHSe3 PBE optimized geometry; spin magnetization = 4.0 μB per cell
1.0
5.9138 0.0000 0.0000
0.0000 5.9138 0.0000
0.0000 0.0000 5.9138
La H Se
1 1 3
Cartesian
0.0000 0.0000 0.0000
2.9569 2.9569 2.9569
0.0000 0.0000 2.9569
0.0000 2.9569 0.0000
2.9569 0.0000 0.0000

***

Quick one: most stable of them? 1

***

1 | La4Si2H PBE optimized geometry; spin magnetization = 0.4 μB per cell
1.0
-2.3280 2.3280 8.3670
2.3280 -2.3280 8.3670
2.3280 2.3280 -8.3670
La Si H
4 2 1
Cartesian
2.3280 0.0000 0.0000
0.0000 0.0000 3.0866
0.0000 2.3280 0.0000
0.0000 0.0000 13.6474
0.0000 0.0000 6.1410
0.0000 0.0000 10.5930
0.0000 0.0000 0.0000

***

2 | La4Si2H PBE optimized geometry; spin magnetization = 0.0 μB per cell
1.0
6.6276 0.0000 0.0000
0.0000 6.6778 0.0000
-2.9850 0.0000 8.3981
La Si H
8 4 2
Cartesian
-0.7014 0.0874 2.2041
-0.7014 3.2515 2.2041
2.4892 1.6694 0.7318
0.9825 1.6694 5.2266
2.6600 5.0083 3.1715
1.1534 5.0083 7.6663
4.3439 3.4262 6.1939
4.3439 6.5904 6.1939
1.2741 5.0083 0.4529
0.0303 5.0083 4.7560
3.6122 1.6694 3.6420
2.3684 1.6694 7.9451
-0.8402 1.6694 6.7809
4.4828 5.0083 1.6172

***

Quick one: most stable of them? 1

***

1 | LaSi2H2 PBE optimized geometry; spin magnetization = 0.0 μB per cell
1.0
7.4864 0.0000 0.0000
0.0000 7.4864 0.0000
0.0000 0.0000 3.0528
La Si H
2 4 4
Cartesian
0.0000 0.0000 0.0000
3.7432 3.7432 0.0000
0.8189 2.9243 0.0000
2.9243 6.6675 0.0000
4.5621 0.8189 0.0000
6.6675 4.5621 0.0000
0.6680 4.4112 1.5264
3.0752 0.6680 1.5264
4.4112 6.8184 1.5264
6.8184 3.0752 1.5264

***

2 | LaSi2H2 PBE optimized geometry; spin magnetization = 0.0 μB per cell
1.0
-2.1236 2.1236 4.0856
2.1236 -2.1236 4.0856
2.1236 2.1236 -4.0856
La Si H
1 2 2
Cartesian
0.0000 0.0000 0.0000
0.0000 0.0000 2.9734
0.0000 0.0000 5.1977
2.1236 0.0000 2.0428
0.0000 2.1236 2.0428

***

Quick one: most stable of them? 2

***

1 | LaSmH2 PBE optimized geometry; spin magnetization = 0.0 μB per cell
1.0
1.8166 1.0488 5.9614
-1.8166 1.0488 5.9614
0.0000 -2.0977 5.9614
La Sm H
1 1 2
Cartesian
0.0000 0.0000 0.0000
0.0000 0.0000 8.9421
0.0000 0.0000 4.3828
0.0000 0.0000 13.5015

***

2 | LaSmH2 PBE optimized geometry; spin magnetization = 0.0 μB per cell
1.0
1.8020 1.0404 6.2034
-1.8020 1.0404 6.2034
0.0000 -2.0808 6.2034
La Sm H
1 1 2
Cartesian
0.0000 0.0000 0.0000
0.0000 0.0000 3.2721
0.0000 0.0000 10.8267
0.0000 0.0000 14.3574

***

Quick one: most stable of them? 1

***

1 | LaSnH3 PBE optimized geometry; spin magnetization = 0.0 μB per cell
1.0
4.3871 0.0000 0.0000
0.0000 4.3871 0.0000
0.0000 0.0000 4.3871
La Sn H
1 1 3
Cartesian
0.0000 0.0000 0.0000
2.1936 2.1936 2.1936
0.0000 0.0000 2.1936
0.0000 2.1936 0.0000
2.1936 0.0000 0.0000

***

2 | LaSnH3 PBE optimized geometry; spin magnetization = 0.0 μB per cell
1.0
4.1141 0.0000 0.0000
0.0000 4.1141 0.0000
0.0000 0.0000 4.1141
La Sn H
1 1 3
Cartesian
0.0000 0.0000 0.0000
2.0571 2.0571 2.0571
0.0000 2.0571 2.0571
2.0571 0.0000 2.0571
2.0571 2.0571 0.0000

***

Quick one: most stable of them? 1

***

1 | LaSn3H PBE optimized geometry; spin magnetization = 1.0 μB per cell
1.0
6.1329 0.0000 0.0000
0.0000 6.1329 0.0000
0.0000 0.0000 6.1329
La Sn H
1 3 1
Cartesian
0.0000 0.0000 0.0000
0.0000 0.0000 3.0664
0.0000 3.0664 0.0000
3.0664 0.0000 0.0000
3.0664 3.0664 3.0664

***

2 | LaSn3H PBE optimized geometry; spin magnetization = 0.0 μB per cell
1.0
4.8442 0.0000 0.0000
0.0000 4.8442 0.0000
0.0000 0.0000 4.8442
La Sn H
1 3 1
Cartesian
0.0000 0.0000 0.0000
0.0000 2.4221 2.4221
2.4221 0.0000 2.4221
2.4221 2.4221 0.0000
2.4221 2.4221 2.4221

***

Quick one: most stable of them? 2

***

1 | La3SnH PBE optimized geometry; spin magnetization = 0.0 μB per cell
1.0
5.0754 0.0000 0.0000
0.0000 5.0754 0.0000
0.0000 0.0000 5.0754
La Sn H
3 1 1
Cartesian
0.0000 0.0000 2.5377
0.0000 2.5377 0.0000
2.5377 0.0000 0.0000
2.5377 2.5377 2.5377
0.0000 0.0000 0.0000

***

2 | La3SnH PBE optimized geometry; spin magnetization = 0.0 μB per cell
1.0
6.1250 -3.5047 0.0000
6.1250 3.5047 0.0000
-6.0952 0.0000 6.2082
La Sn H
6 2 2
Cartesian
1.3051 1.7643 4.3503
-1.8924 0.0000 5.1604
4.8497 1.7643 1.8579
1.3051 -1.7643 4.3503
8.0471 0.0000 1.0478
4.8497 -1.7643 1.8579
1.8144 0.0000 1.2384
4.3404 0.0000 4.9698
-0.2689 0.0000 3.4189
6.4237 0.0000 2.7893

***

Quick one: most stable of them? 1

***

1 | SrLaH PBE optimized geometry; spin magnetization = 0.0 μB per cell
1.0
6.8522 0.0000 0.0000
0.0000 7.6260 0.0000
-2.3604 0.0000 6.3203
Sr La H
4 4 4
Cartesian
-0.5482 0.9241 1.5313
-1.7284 2.8889 4.6915
6.2202 4.7371 1.6288
5.0400 6.7019 4.7889
1.5725 0.9821 4.7840
2.7527 2.8309 1.6238
1.7391 4.7951 4.6964
2.9193 6.6439 1.5363
1.8993 0.9338 0.0781
0.7191 2.8792 3.2382
3.7727 4.7468 3.0821
2.5925 6.6922 6.2422

***

2 | SrLaH PBE optimized geometry; spin magnetization = 0.1 μB per cell
1.0
3.8720 0.0000 0.0000
-1.9360 3.3533 0.0000
0.0000 0.0000 6.5098
Sr La H
1 1 1
Cartesian
0.0000 0.0000 0.0000
0.0000 2.2355 3.0737
1.9360 1.1178 1.7096

***

Quick one: most stable of them? 1

***

1 | SrLaH2 PBE optimized geometry; spin magnetization = 2.0 μB per cell
1.0
-2.8389 2.8389 5.6640
2.8389 -2.8389 5.6640
2.8389 2.8389 -5.6640
Sr La H
2 2 4
Cartesian
0.0000 0.0000 0.0000
0.0000 2.8389 2.8320
2.8389 0.0000 2.8320
0.0000 0.0000 5.6640
1.4194 -1.2536 4.2480
1.5853 1.4194 1.4160
1.4194 4.0925 -1.4160
1.2536 1.4194 7.0800

***

2 | SrLaH2 PBE optimized geometry; spin magnetization = 0.0 μB per cell
1.0
0.0000 3.3399 3.3399
3.3399 0.0000 3.3399
3.3399 3.3399 0.0000
Sr La H
1 1 2
Cartesian
0.0000 0.0000 0.0000
3.3399 3.3399 3.3399
1.6700 1.6700 1.6700
5.0099 5.0099 5.0099

***

Quick one: most stable of them? 1